! Tb2Er5Sc, relaxed, DFT PBE-GGA; values from VASP
&SYSTEM
  ibrav = 0, nat = 16, ntyp = 3
/
ATOMIC_SPECIES
Tb 158.93 Tb.upf
Er 167.26 Er.upf
Sc 44.96 Sc.upf
ATOMIC_POSITIONS crystal
Tb 0.500 0.248 0.624
Tb 0.500 0.752 0.376
Tb 0.500 0.252 0.124
Tb 0.500 0.748 0.876
Er 0.000 0.000 0.000
Er 0.000 0.500 0.500
Er 0.000 0.499 0.752
Er 0.000 0.501 0.248
Er 0.000 0.001 0.252
Er 0.000 0.999 0.748
Er 0.500 0.250 0.876
Er 0.500 0.750 0.124
Er 0.500 0.250 0.376
Er 0.500 0.750 0.624
Sc 0.000 0.000 0.500
Sc 0.000 0.500 0.000
CELL_PARAMETERS angstrom
4.925 0.000 0.000
0.000 6.980 0.000
0.000 0.000 13.967
! N(E_F) (states/eV/atom): 1.32
! DFT formation energy (meV per atom): 30.8
! Space group: No. 55
! Energy relative to the lowest polymorph listed for this composition (meV per atom): 0.0
! Total magnetic moment (μB/atom): 0.000

***

! CaZr4Ir, relaxed, DFT PBE-GGA; values from VASP
&SYSTEM
  ibrav = 0, nat = 6, ntyp = 3
/
ATOMIC_SPECIES
Ca 40.08 Ca.upf
Zr 91.22 Zr.upf
Ir 192.22 Ir.upf
ATOMIC_POSITIONS crystal
Ca 0.750 0.750 0.750
Zr 0.879 0.374 0.374
Zr 0.374 0.374 0.879
Zr 0.374 0.879 0.374
Zr 0.374 0.374 0.374
Ir 0.000 0.000 0.000
CELL_PARAMETERS angstrom
2.427 -4.608 2.474
-3.021 -4.874 0.603
1.319 -4.622 -3.185
! N(E_F) (states/eV/atom): 1.39
! DFT formation energy (meV per atom): 388.9
! Space group: No. 216
! Total magnetic moment (μB/atom): 0.000

***

! PmAlGa2Rh2, relaxed, DFT PBE-GGA; values from VASP
&SYSTEM
  ibrav = 0, nat = 6, ntyp = 4
/
ATOMIC_SPECIES
Pm 145.00 Pm.upf
Al 26.98 Al.upf
Ga 69.72 Ga.upf
Rh 102.91 Rh.upf
ATOMIC_POSITIONS crystal
Pm 0.000 0.000 0.500
Al 0.000 0.000 0.000
Ga 0.500 0.500 0.740
Ga 0.500 0.500 0.260
Rh 0.500 0.000 0.000
Rh 0.000 0.500 0.000
CELL_PARAMETERS angstrom
4.522 0.000 0.000
0.000 4.522 0.000
0.000 0.000 5.700
! N(E_F) (states/eV/atom): 1.11
! DFT formation energy (meV per atom): -444.8
! Space group: No. 123
! Total magnetic moment (μB/atom): 0.000

***

! Na3Ac3AlO8, relaxed, DFT PBE-GGA; values from VASP
&SYSTEM
  ibrav = 0, nat = 15, ntyp = 4
/
ATOMIC_SPECIES
Na 22.99 Na.upf
Ac 227.00 Ac.upf
Al 26.98 Al.upf
O 16.00 O.upf
ATOMIC_POSITIONS crystal
Na 0.000 0.000 0.000
Na 0.000 0.500 0.000
Na 0.500 0.500 0.000
Ac 0.500 0.000 0.500
Ac 0.500 0.500 0.500
Ac 0.000 0.500 0.500
Al 0.000 0.000 0.500
O 0.257 0.513 0.270
O 0.743 0.487 0.730
O 0.797 0.594 0.304
O 0.203 0.406 0.696
O 0.797 0.008 0.304
O 0.203 0.992 0.696
O 0.211 0.008 0.304
O 0.789 0.992 0.696
CELL_PARAMETERS angstrom
-3.267 -0.014 6.408
4.600 -5.261 -1.703
2.259 6.515 1.167
! Formation energy from raw total energies (eV/atom): -2.375
! N(E_F) (states/eV/atom): 0.66
! Space group: No. 166
! Total magnetic moment (μB/atom): 0.000

***

! Cr5Re4, relaxed, DFT PBE-GGA; values from VASP
&SYSTEM
  ibrav = 0, nat = 9, ntyp = 2
/
ATOMIC_SPECIES
Cr 52.00 Cr.upf
Re 186.21 Re.upf
ATOMIC_POSITIONS crystal
Cr 0.000 0.000 0.000
Cr 0.336 0.000 0.671
Cr 0.336 0.329 0.000
Cr 0.664 0.671 0.000
Cr 0.664 0.000 0.329
Re 0.000 0.324 0.324
Re 0.000 0.676 0.676
Re 0.324 0.676 0.324
Re 0.676 0.324 0.676
CELL_PARAMETERS angstrom
2.976 0.000 0.000
1.488 6.345 0.000
-1.488 0.000 6.345
! N(E_F) (states/eV/atom): 1.01
! DFT formation energy (meV per atom): 86.5
! Space group: No. 139
! Total magnetic moment (μB/atom): 0.000

***

! Ti2Te3, relaxed, DFT PBE-GGA; values from VASP
&SYSTEM
  ibrav = 0, nat = 10, ntyp = 2
/
ATOMIC_SPECIES
Ti 47.87 Ti.upf
Te 127.60 Te.upf
ATOMIC_POSITIONS crystal
Ti 0.500 0.500 0.500
Ti 0.160 0.160 0.160
Ti 0.840 0.840 0.840
Ti 0.000 0.000 0.000
Te 0.923 0.574 0.265
Te 0.265 0.923 0.574
Te 0.574 0.265 0.923
Te 0.426 0.735 0.077
Te 0.735 0.077 0.426
Te 0.077 0.426 0.735
CELL_PARAMETERS angstrom
-5.783 -1.902 -4.307
0.325 -1.926 -7.197
-1.352 -6.777 -2.802
! Formation energy from raw total energies (eV/atom): -0.724
! N(E_F) (states/eV/atom): 0.80
! Space group: No. 148
! Total magnetic moment (μB/atom): 0.000

***

Which calculated volume belongs to each record? In order, 480.1, 135.5, 116.6, 252.1, 119.8, 251.3 Å³/cell.